DFT (PBE-GGA) results for a geometry-optimized LiPr2As4Pd3 structure.

a b c (Å): 4.3639 4.3639 10.3586
angles (deg): 90.00 90.00 90.00
With the nearest neighbours (Å) after each atom.
Sites, in units of the cell vectors:
Li (0.5000, 0.5000, 0.5000)  4 As 2.59
Pr (0.5000, 0.0000, 0.2492)  8 As 3.31-3.38, 6 Pd 3.34-3.39, 2 Li 3.39
Pr (0.0000, 0.5000, 0.7508)  8 As 3.31-3.38, 6 Pd 3.34-3.39, 2 Li 3.39
As (0.5000, 0.5000, 0.0000)  4 Pd 2.54
As (0.0000, 0.0000, 0.0000)  4 Pd 2.54
As (0.5000, 0.0000, 0.6340)  3 Pd 2.49-2.59, 2 Li 2.59
As (0.0000, 0.5000, 0.3660)  3 Pd 2.49-2.59, 2 Li 2.59
Pd (0.0000, 0.0000, 0.5000)  4 As 2.59
Pd (0.5000, 0.0000, 0.8747)  5 As 2.49-2.54
Pd (0.0000, 0.5000, 0.1253)  5 As 2.49-2.54

Values from the calculation:
* symmetry: P-4m2
* density of states at the Fermi level: 3.8 states/eV per cell
* formation energy: -86 kJ per mole of atoms